Tb3Er4Tm: optimized geometry, PBE.

For the total energy, the calculation gives -4.5740 eV per atom. The calculation puts the density of states at the Fermi level at 26.0 states/eV/cell. The calculation puts the energy relative to the lowest polymorph listed for this composition at 0.0000 eV/atom. The calculation puts the calculated formation energy at 0.3 kJ/mol of atoms.

It has space group Pmn2_1 (No. 31), with a = 11.135 Å, b = 7.205 Å, c = 6.226 Å, α = 90.00°, β = 90.00° and γ = 90.00°. The inequivalent atoms are Tb at (0.000, 0.126, 0.000), Tb at (0.250, 0.126, 0.333), Er at (0.000, 0.376, 0.501), Er at (0.000, 0.624, 0.000), Er at (0.249, 0.624, 0.334) and Tm at (0.000, 0.874, 0.500).

NaPICl2: optimized geometry, PBE.

For the total energy, the calculation gives -2.3445 eV per atom. The calculation puts the density of states at the Fermi level at 3.2 states/eV/cell. The value obtained for the uncorrected formation energy is 50 meV per atom. The calculation puts the energy relative to the lowest polymorph listed for this composition at 0.0000 eV/atom.

It has space group P4/mmm (No. 123), with a = 5.994 Å, b = 5.994 Å, c = 4.991 Å, α = 90.00°, β = 90.00° and γ = 90.00°. The inequivalent atoms are Na at (0.000, 0.000, 0.000), P at (0.500, 0.500, 0.000), I at (0.500, 0.500, 0.500) and Cl at (0.000, 0.500, 0.500).

BHCl: optimized geometry, PBE.

For the total energy, the calculation gives -3.6011 eV per atom. The calculation puts the density of states at the Fermi level at 2.4 states/eV/cell. The calculation puts the energy relative to the lowest polymorph listed for this composition at 0.7110 eV/atom.

It has space group C2/c (No. 15), with a = 13.174 Å, b = 8.914 Å, c = 5.442 Å, α = 90.00°, β = 99.44° and γ = 90.00°. The inequivalent atoms are B at (0.000, 0.192, 0.250), B at (0.120, 0.497, 0.297), H at (0.000, 0.060, 0.250), H at (0.199, 0.438, 0.830), Cl at (0.000, 0.394, 0.750) and Cl at (0.122, 0.290, 0.297).

YMnCd2Fe: optimized geometry, PBE.

For the total energy, the calculation gives -4.7977 eV per atom. The calculation puts the density of states at the Fermi level at 3.9 states/eV/cell. The calculation puts the calculated formation energy at 37.4 kJ/mol of atoms.

It has space group P4/mmm (No. 123), with a = 4.992 Å, b = 4.992 Å, c = 4.356 Å, α = 90.00°, β = 90.00° and γ = 90.00°. The inequivalent atoms are Y at (0.000, 0.000, 0.000), Mn at (0.500, 0.500, 0.000), Cd at (0.000, 0.500, 0.500) and Fe at (0.500, 0.500, 0.500).